CdSe | GGA-PBE | relaxed

Results
D(E_F), states/eV/atom: 0.174
E_form (uncorrected), eV per atom: -0.487

The structure in POSCAR format:
```
CdSe
1.0
4.057 0.000 0.000
-2.022 3.546 0.000
-0.015 -2.310 6.631
Cd Se
2 2
direct
0.000 0.000 0.000 Cd
0.500 0.000 0.500 Cd
0.223 0.454 0.750 Se
0.777 0.546 0.250 Se
```

CdSe | GGA-PBE | relaxed

Results
E_form (uncorrected), eV per atom: -0.598

The structure in POSCAR format:
```
CdSe
1.0
7.546 0.000 0.000
0.000 7.546 0.000
0.000 0.000 4.400
Cd Se
4 4
direct
0.178 0.178 0.000 Cd
0.322 0.678 0.500 Cd
0.678 0.322 0.500 Cd
0.822 0.822 0.000 Cd
0.183 0.817 0.000 Se
0.317 0.317 0.500 Se
0.683 0.683 0.500 Se
0.817 0.183 0.000 Se
```

CdSe4 | GGA-PBE | relaxed

Results
D(E_F), states/eV/atom: 0.777
E_form (uncorrected), eV per atom: 0.374
Excess energy over the best structure of this formula in the dataset, meV/atom: 299

The structure in POSCAR format:
```
CdSe4
1.0
6.396 0.000 0.000
0.000 6.396 0.000
0.000 0.000 6.396
Cd Se
2 8
direct
0.000 0.000 0.000 Cd
0.500 0.500 0.500 Cd
0.250 0.250 0.250 Se
0.250 0.250 0.750 Se
0.250 0.750 0.250 Se
0.250 0.750 0.750 Se
0.750 0.250 0.250 Se
0.750 0.250 0.750 Se
0.750 0.750 0.250 Se
0.750 0.750 0.750 Se
```

Cd4Se | GGA-PBE | relaxed

Results
D(E_F), states/eV/atom: 0.569
E_form (uncorrected), eV per atom: 0.281

The structure in POSCAR format:
```
Cd4Se
1.0
5.462 0.000 0.000
0.000 5.462 0.000
0.000 0.000 5.462
Cd Se
4 1
direct
0.000 0.000 0.000 Cd
0.000 0.500 0.500 Cd
0.500 0.000 0.500 Cd
0.500 0.500 0.000 Cd
0.500 0.500 0.500 Se
```

CdSe4 | GGA-PBE | relaxed

Results
D(E_F), states/eV/atom: 1.427
E_form (uncorrected), eV per atom: 0.805
Excess energy over the best structure of this formula in the dataset, meV/atom: 731

The structure in POSCAR format:
```
CdSe4
1.0
5.186 0.000 0.000
0.000 5.186 0.000
0.000 0.000 5.186
Cd Se
1 4
direct
0.000 0.000 0.000 Cd
0.000 0.000 0.500 Se
0.000 0.500 0.000 Se
0.500 0.000 0.000 Se
0.500 0.500 0.500 Se
```

CdSe | GGA-PBE | relaxed

Results
E_form (uncorrected), eV per atom: -0.552

The structure in POSCAR format:
```
CdSe
1.0
10.582 0.000 0.000
-5.291 9.164 0.000
0.000 0.000 4.495
Cd Se
6 6
direct
0.078 0.665 0.250 Cd
0.335 0.413 0.250 Cd
0.413 0.078 0.750 Cd
0.587 0.922 0.250 Cd
0.665 0.587 0.750 Cd
0.922 0.335 0.750 Cd
0.084 0.407 0.250 Se
0.323 0.916 0.250 Se
0.407 0.323 0.750 Se
0.593 0.677 0.250 Se
0.677 0.084 0.750 Se
0.916 0.593 0.750 Se
```

CdSe | GGA-PBE | relaxed

Results
D(E_F), states/eV/atom: 0.363
E_form (uncorrected), eV per atom: 0.151

The structure in POSCAR format:
```
CdSe
1.0
7.115 0.000 0.000
0.000 7.115 0.000
0.000 0.000 7.115
Cd Se
8 8
direct
0.125 0.125 0.125 Cd
0.125 0.625 0.625 Cd
0.375 0.375 0.875 Cd
0.375 0.875 0.375 Cd
0.625 0.125 0.625 Cd
0.625 0.625 0.125 Cd
0.875 0.375 0.375 Cd
0.875 0.875 0.875 Cd
0.125 0.125 0.625 Se
0.125 0.625 0.125 Se
0.375 0.375 0.375 Se
0.375 0.875 0.875 Se
0.625 0.125 0.125 Se
0.625 0.625 0.625 Se
0.875 0.375 0.875 Se
0.875 0.875 0.375 Se
```

CdSe | GGA-PBE | relaxed

Results
E_form (uncorrected), eV per atom: -0.561

The structure in POSCAR format:
```
CdSe
1.0
4.391 0.000 0.000
0.000 13.556 0.000
0.000 0.000 6.547
Cd Se
6 6
direct
0.250 0.106 0.082 Cd
0.250 0.394 0.082 Cd
0.250 0.750 0.409 Cd
0.750 0.250 0.591 Cd
0.750 0.606 0.918 Cd
0.750 0.894 0.918 Cd
0.250 0.250 0.357 Se
0.250 0.595 0.153 Se
0.250 0.905 0.153 Se
0.750 0.095 0.847 Se
0.750 0.405 0.847 Se
0.750 0.750 0.643 Se
```

CdSe | GGA-PBE | relaxed

Results
E_form (uncorrected), eV per atom: -0.491

The structure in POSCAR format:
```
CdSe
1.0
0.000 5.907 5.964
4.433 0.000 5.964
4.433 5.907 0.000
Cd Se
4 4
direct
0.029 0.721 0.029 Cd
0.279 0.971 0.279 Cd
0.721 0.029 0.721 Cd
0.971 0.279 0.971 Cd
0.047 0.047 0.703 Se
0.297 0.297 0.953 Se
0.703 0.703 0.047 Se
0.953 0.953 0.297 Se
```

CdSe | GGA-PBE | relaxed

Results
E_form (uncorrected), eV per atom: -0.628

The structure in POSCAR format:
```
CdSe
1.0
7.589 0.000 0.000
0.000 4.382 0.000
-2.533 0.000 10.741
Cd Se
6 6
direct
0.000 0.000 0.000 Cd
0.055 0.500 0.667 Cd
0.278 0.500 0.333 Cd
0.500 0.500 0.000 Cd
0.555 0.000 0.667 Cd
0.778 0.000 0.333 Cd
0.083 0.000 0.250 Se
0.139 0.500 0.917 Se
0.360 0.500 0.583 Se
0.583 0.500 0.250 Se
0.639 0.000 0.917 Se
0.860 0.000 0.583 Se
```

CdSe | GGA-PBE | relaxed

Results
D(E_F), states/eV/atom: 0.241
E_form (uncorrected), eV per atom: -0.413

The structure in POSCAR format:
```
CdSe
1.0
3.942 0.000 0.000
0.000 13.930 0.000
0.000 0.000 3.964
Cd Se
4 4
direct
0.000 0.167 0.250 Cd
0.000 0.833 0.750 Cd
0.500 0.333 0.750 Cd
0.500 0.667 0.250 Cd
0.000 0.367 0.250 Se
0.000 0.633 0.750 Se
0.500 0.133 0.750 Se
0.500 0.867 0.250 Se
```

Cd3Se2 | GGA-PBE | relaxed

Results
D(E_F), states/eV/atom: 0.111
E_form (uncorrected), eV per atom: -0.228
Excess energy over the best structure of this formula in the dataset, meV/atom: 119

The structure in POSCAR format:
```
Cd3Se2
1.0
0.000 6.525 3.162
6.004 0.000 3.162
6.004 6.525 0.000
Cd Se
6 4
direct
0.000 0.000 0.000 Cd
0.250 0.250 0.250 Cd
0.370 0.477 0.427 Cd
0.477 0.370 0.726 Cd
0.524 0.823 0.773 Cd
0.823 0.524 0.880 Cd
0.110 0.804 0.358 Se
0.521 0.892 0.446 Se
0.804 0.110 0.729 Se
0.892 0.521 0.140 Se
```

CdSe4 | GGA-PBE | relaxed

Results
D(E_F), states/eV/atom: 0.441
E_form (uncorrected), eV per atom: 0.074
Excess energy over the best structure of this formula in the dataset, meV/atom: 0

The structure in POSCAR format:
```
CdSe4
1.0
5.602 0.000 0.000
0.000 5.602 0.000
0.000 0.000 9.521
Cd Se
2 8
direct
0.000 0.000 0.000 Cd
0.500 0.500 0.500 Cd
0.000 0.000 0.263 Se
0.000 0.000 0.737 Se
0.000 0.500 0.250 Se
0.000 0.500 0.750 Se
0.500 0.000 0.250 Se
0.500 0.000 0.750 Se
0.500 0.500 0.237 Se
0.500 0.500 0.763 Se
```

CdSe | GGA-PBE | relaxed

Results
E_form (uncorrected), eV per atom: -0.461

The structure in POSCAR format:
```
CdSe
1.0
4.640 0.000 0.000
0.000 4.640 0.000
0.000 0.000 5.101
Cd Se
2 2
direct
0.250 0.750 0.000 Cd
0.750 0.250 0.000 Cd
0.250 0.250 0.291 Se
0.750 0.750 0.709 Se
```

CdSe | GGA-PBE | relaxed

Results
E_form (uncorrected), eV per atom: -0.257

The structure in POSCAR format:
```
CdSe
1.0
18.234 0.000 0.000
0.000 4.292 0.000
-1.206 0.000 4.867
Cd Se
6 6
direct
0.000 0.000 0.000 Cd
0.127 0.000 0.417 Cd
0.345 0.000 0.223 Cd
0.500 0.500 0.000 Cd
0.627 0.500 0.417 Cd
0.845 0.500 0.223 Cd
0.216 0.500 0.627 Se
0.252 0.500 0.154 Se
0.415 0.000 0.788 Se
0.716 0.000 0.627 Se
0.752 0.000 0.154 Se
0.915 0.500 0.788 Se
```

Cd5Se3 | GGA-PBE | relaxed

Results
D(E_F), states/eV/atom: 0.377
E_form (uncorrected), eV per atom: -0.101
Excess energy over the best structure of this formula in the dataset, meV/atom: 231

The structure in POSCAR format:
```
Cd5Se3
1.0
6.673 0.000 0.000
0.000 10.671 0.000
0.000 0.000 5.327
Cd Se
10 6
direct
0.000 0.000 0.000 Cd
0.212 0.500 0.500 Cd
0.250 0.250 0.000 Cd
0.250 0.750 0.000 Cd
0.288 0.000 0.500 Cd
0.500 0.500 0.000 Cd
0.712 0.000 0.500 Cd
0.750 0.250 0.000 Cd
0.750 0.750 0.000 Cd
0.788 0.500 0.500 Cd
0.000 0.187 0.500 Se
0.000 0.500 0.000 Se
0.000 0.813 0.500 Se
0.500 0.000 0.000 Se
0.500 0.313 0.500 Se
0.500 0.687 0.500 Se
```

Cd5Se3 | GGA-PBE | relaxed

Results
D(E_F), states/eV/atom: 0.004
E_form (uncorrected), eV per atom: -0.331
Excess energy over the best structure of this formula in the dataset, meV/atom: 0

The structure in POSCAR format:
```
Cd5Se3
1.0
6.873 0.000 0.000
-3.293 6.241 0.000
-1.262 -2.702 10.659
Cd Se
10 6
direct
0.040 0.283 0.075 Cd
0.123 0.659 0.279 Cd
0.232 0.782 0.730 Cd
0.248 0.241 0.488 Cd
0.372 0.257 0.960 Cd
0.628 0.743 0.040 Cd
0.752 0.759 0.512 Cd
0.768 0.218 0.270 Cd
0.877 0.341 0.721 Cd
0.960 0.717 0.925 Cd
0.096 0.100 0.688 Se
0.325 0.662 0.507 Se
0.357 0.884 0.124 Se
0.643 0.116 0.876 Se
0.675 0.338 0.493 Se
0.904 0.900 0.312 Se
```

CdSe | GGA-PBE | relaxed

Results
E_form (uncorrected), eV per atom: -0.404

The structure in POSCAR format:
```
CdSe
1.0
14.166 0.000 0.000
0.000 4.059 0.000
-3.679 0.000 6.215
Cd Se
6 6
direct
0.000 0.000 0.000 Cd
0.052 0.500 0.552 Cd
0.276 0.000 0.932 Cd
0.500 0.500 0.000 Cd
0.552 0.000 0.552 Cd
0.776 0.500 0.932 Cd
0.113 0.500 0.967 Se
0.276 0.500 0.683 Se
0.439 0.500 0.294 Se
0.613 0.000 0.967 Se
0.776 0.000 0.683 Se
0.939 0.000 0.294 Se
```

CdSe | GGA-PBE | relaxed

Results
E_form (uncorrected), eV per atom: -0.513

The structure in POSCAR format:
```
CdSe
1.0
8.462 0.000 0.000
0.000 8.462 0.000
0.000 0.000 8.462
Cd Se
8 8
direct
0.159 0.159 0.841 Cd
0.159 0.841 0.159 Cd
0.341 0.341 0.341 Cd
0.341 0.659 0.659 Cd
0.659 0.341 0.659 Cd
0.659 0.659 0.341 Cd
0.841 0.159 0.159 Cd
0.841 0.841 0.841 Cd
0.164 0.164 0.164 Se
0.164 0.836 0.836 Se
0.336 0.336 0.664 Se
0.336 0.664 0.336 Se
0.664 0.336 0.336 Se
0.664 0.664 0.664 Se
0.836 0.164 0.836 Se
0.836 0.836 0.164 Se
```

CdSe | GGA-PBE | relaxed

Results
D(E_F), states/eV/atom: 0.361
E_form (uncorrected), eV per atom: -0.483

The structure in POSCAR format:
```
CdSe
1.0
5.739 0.000 0.000
0.000 5.739 0.000
0.000 0.000 5.739
Cd Se
4 4
direct
0.000 0.000 0.000 Cd
0.000 0.500 0.500 Cd
0.500 0.000 0.500 Cd
0.500 0.500 0.000 Cd
0.000 0.000 0.500 Se
0.000 0.500 0.000 Se
0.500 0.000 0.000 Se
0.500 0.500 0.500 Se
```

CdSe | GGA-PBE | relaxed

Results
D(E_F), states/eV/atom: 0.151
E_form (uncorrected), eV per atom: -0.213

The structure in POSCAR format:
```
CdSe
1.0
5.384 0.000 0.000
0.000 5.384 0.000
0.000 0.000 5.031
Cd Se
2 2
direct
0.250 0.250 0.102 Cd
0.750 0.750 0.898 Cd
0.250 0.750 0.000 Se
0.750 0.250 0.000 Se
```

CdSe | GGA-PBE | relaxed

Results
E_form (uncorrected), eV per atom: -0.629

The structure in POSCAR format:
```
CdSe
1.0
6.197 0.000 0.000
0.000 6.197 0.000
0.000 0.000 6.197
Cd Se
4 4
direct
0.000 0.000 0.000 Cd
0.000 0.500 0.500 Cd
0.500 0.000 0.500 Cd
0.500 0.500 0.000 Cd
0.250 0.250 0.250 Se
0.250 0.750 0.750 Se
0.750 0.250 0.750 Se
0.750 0.750 0.250 Se
```

CdSe | GGA-PBE | relaxed

Results
D(E_F), states/eV/atom: 0.666
E_form (uncorrected), eV per atom: 0.136

The structure in POSCAR format:
```
CdSe
1.0
3.955 0.000 0.000
0.000 4.852 0.000
0.000 0.000 10.036
Cd Se
4 4
direct
0.000 0.250 0.117 Cd
0.000 0.750 0.883 Cd
0.500 0.250 0.883 Cd
0.500 0.750 0.117 Cd
0.000 0.250 0.674 Se
0.000 0.750 0.326 Se
0.500 0.250 0.326 Se
0.500 0.750 0.674 Se
```

CdSe | GGA-PBE | relaxed

Results
D(E_F), states/eV/atom: 0.377
E_form (uncorrected), eV per atom: -0.209

The structure in POSCAR format:
```
CdSe
1.0
3.852 0.000 0.000
0.000 3.852 0.000
0.000 0.000 16.231
Cd Se
4 4
direct
0.000 0.250 0.375 Cd
0.000 0.750 0.625 Cd
0.500 0.250 0.125 Cd
0.500 0.750 0.875 Cd
0.000 0.250 0.875 Se
0.000 0.750 0.125 Se
0.500 0.250 0.625 Se
0.500 0.750 0.375 Se
```

CdSe | GGA-PBE | relaxed

Results
E_form (uncorrected), eV per atom: -0.542

The structure in POSCAR format:
```
CdSe
1.0
11.343 0.000 0.000
0.000 11.343 0.000
0.000 0.000 4.405
Cd Se
8 8
direct
0.120 0.298 0.000 Cd
0.202 0.620 0.500 Cd
0.298 0.880 0.000 Cd
0.380 0.202 0.500 Cd
0.620 0.798 0.500 Cd
0.702 0.120 0.000 Cd
0.798 0.380 0.500 Cd
0.880 0.702 0.000 Cd
0.111 0.721 0.000 Se
0.221 0.389 0.500 Se
0.279 0.111 0.000 Se
0.389 0.779 0.500 Se
0.611 0.221 0.500 Se
0.721 0.889 0.000 Se
0.779 0.611 0.500 Se
0.889 0.279 0.000 Se
```